[1]
Material: KBr2Cl
Method: DFT, PBEsol
State: optimized geometry

a = 4.0965 Å, b = 4.0965 Å, c = 7.6836 Å
α = 105.46°, β = 105.46°, γ = 90.00°
Closest atoms and distances in Å follow each position.
Fractional positions:
K  0.5000  0.5000  0.0000  4 Cl 2.90
Br  0.7500  0.2500  0.5000  4 Br 2.90
Br  0.2500  0.7500  0.5000  4 Br 2.90
Cl  0.0000  0.0000  0.0000  4 K 2.90

The formation energy from raw total energies is -791 meV per atom. The uncorrected energy comes out at -10.04 eV per formula unit. The calculation puts the polymorph energy (0 for the lowest one) at 156 meV per atom. The total magnetic moment is 0.000 μB per atom. For the density of states at the Fermi level, the calculation gives 5.2 states/eV/f.u.

***

[2]
Material: KBrCl2
Method: DFT, PBEsol
State: optimized geometry

a = 4.0729 Å, b = 3.9927 Å, c = 6.8454 Å
α = 90.00°, β = 90.00°, γ = 90.00°
Closest atoms and distances in Å follow each position.
Fractional positions:
K  0.5000  0.5000  0.0000  4 Cl 2.85
Br  0.0000  0.5000  0.5000  4 Cl 2.85
Cl  0.0000  0.0000  0.0000  4 K 2.85
Cl  0.5000  0.0000  0.5000  4 Br 2.85

The formation energy from raw total energies is -726 meV per atom. The uncorrected energy comes out at -9.92 eV per formula unit. The total magnetic moment is 0.001 μB per atom. For the density of states at the Fermi level, the calculation gives 5.2 states/eV/f.u.

***

[3]
Material: KBr2Cl
Method: DFT, PBEsol
State: optimized geometry

a = 4.4755 Å, b = 4.4751 Å, c = 6.2763 Å
α = 90.00°, β = 90.00°, γ = 90.00°
Closest atoms and distances in Å follow each position.
Fractional positions:
K  0.5000  0.5000  0.2634  6 Br 3.10-3.42, 4 Cl 3.32
Br  0.0000  0.0000  0.0569  1 Cl 2.29
Br  0.5000  0.5000  0.7577  2 K 3.10-3.17
Cl  0.0000  0.0000  0.4220  1 Br 2.29

The formation energy from raw total energies is -635 meV per atom. The uncorrected energy comes out at -9.42 eV per formula unit. The calculation puts the polymorph energy (0 for the lowest one) at 312 meV per atom. The total magnetic moment is 0.000 μB per atom. For the density of states at the Fermi level, the calculation gives 2.2 states/eV/f.u.